! RbTlGeSe3, relaxed, DFT PBE; values from VASP
&SYSTEM
  ibrav = 0, nat = 12, ntyp = 4
/
ATOMIC_SPECIES
Rb 85.47 Rb.upf
Tl 204.38 Tl.upf
Ge 72.64 Ge.upf
Se 78.96 Se.upf
CELL_PARAMETERS angstrom
-7.6289 -0.1410 -0.9628
-3.1208 -3.5519 6.0656
-4.2518 5.3934 5.3447
ATOMIC_POSITIONS crystal
Rb 0.6927 0.6927 0.8080
Rb 0.3073 0.3073 0.1920
Tl 0.3340 0.6660 0.5000
Tl 0.6660 0.3340 0.5000
Ge 0.0349 0.0349 0.8358
Ge 0.9651 0.9651 0.1642
Se 0.2492 0.2492 0.6362
Se 0.1467 0.7093 0.8245
Se 0.7093 0.1467 0.8245
Se 0.2907 0.8533 0.1755
Se 0.8533 0.2907 0.1755
Se 0.7508 0.7508 0.3638
! - E (Ry/atom) = -0.26189
! - theoretical density (g cm⁻³) = 4.7
! - density of states at the Fermi level (states/eV/atom) = 0.01